VASP calculation (GGA-PBE) on an optimized crystal structure of SiTeSe2.

The value obtained for the energy above the most stable polymorph in this dataset is 39.84 kJ/mol of atoms. The total magnetization is 0.0 μB/f.u. The uncorrected formation energy is 21.9 kJ per mole of atoms.

The structure belongs to space group Immm (No. 71); the cell edges are 3.300, 7.700 and 8.918 Å and the angles 90.00°, 90.00° and 90.00°. The asymmetric unit holds Si at (0.000, 0.000, 0.000), Te at (0.000, 0.000, 0.500) and Se at (0.000, 0.500, 0.309).

VASP calculation (GGA-PBE) on an optimized crystal structure of SiTeSe2.

The value obtained for the energy above the most stable polymorph in this dataset is 40.82 kJ/mol of atoms. The total magnetization is 0.0 μB/f.u. The uncorrected formation energy is 22.9 kJ per mole of atoms.

The structure belongs to space group Cmmm (No. 65); the cell edges are 3.348, 7.191 and 8.873 Å and the angles 90.00°, 90.00° and 90.00°. The asymmetric unit holds Si at (0.000, 0.000, 0.000), Te at (0.000, 0.000, 0.500) and Se at (0.000, 0.500, 0.192).

VASP calculation (GGA-PBE) on an optimized crystal structure of SiTeSe2.

The value obtained for the energy above the most stable polymorph in this dataset is 70.84 kJ/mol of atoms. The total magnetization is 0.0 μB/f.u. The uncorrected formation energy is 52.9 kJ per mole of atoms.

The structure belongs to space group F-43m (No. 216); the cell edges are 7.001, 7.001 and 7.001 Å and the angles 90.00°, 90.00° and 90.00°. The asymmetric unit holds Si at (0.000, 0.000, 0.000), Te at (0.250, 0.250, 0.250), Se at (0.000, 0.000, 0.500) and Se at (0.250, 0.250, 0.750).

VASP calculation (GGA-PBE) on an optimized crystal structure of SiTeSe2.

The value obtained for the energy above the most stable polymorph in this dataset is 0.00 kJ/mol of atoms. The total magnetization is 0.0 μB/f.u. The uncorrected formation energy is -17.9 kJ per mole of atoms.

The structure belongs to space group C2 (No. 5); the cell edges are 15.438, 5.789 and 10.938 Å and the angles 90.00°, 134.88° and 90.00°. The asymmetric unit holds Si at (0.000, 0.000, 0.000), Si at (0.000, 0.500, 0.000), Te at (0.000, 0.232, 0.500), Te at (0.000, 0.770, 0.500), Se at (0.115, 0.250, 0.000) and Se at (0.115, 0.750, 0.230).